Material: CsKAg2
Method: DFT, PBE
State: optimized geometry

The structure belongs to space group R-3m (No. 166, hexagonal axes); the cell edges are 5.6903, 5.6903 and 18.3252 Å and the angles 90.00°, 90.00° and 120.00°. The inequivalent atoms are Cs at (0.0000, 0.0000, 0.0000), K at (0.0000, 0.0000, 0.5000) and Ag at (0.0000, 0.0000, 0.2050).

For the distance to the lowest polymorph of the same formula, the calculation gives 84.4 meV/atom. The total magnetization is 0.00 μB/f.u.

Material: MnGa2Re
Method: DFT, PBE
State: optimized geometry

The structure belongs to space group R-3m (No. 166, hexagonal axes); the cell edges are 2.8104, 2.8104 and 25.4775 Å and the angles 90.00°, 90.00° and 120.00°. The inequivalent atoms are Mn at (0.0000, 0.0000, 0.0000), Ga at (0.0000, 0.0000, 0.2528) and Re at (0.0000, 0.0000, 0.5000).

For the distance to the lowest polymorph of the same formula, the calculation gives 24.6 meV/atom. The total magnetization is 2.58 μB/f.u.

Material: LaPm5Y2
Method: DFT, PBE
State: optimized geometry

The structure belongs to space group C2/c (No. 15); the cell edges are 23.577, 6.471 and 17.813 Å and the angles 90.00°, 125.57° and 90.00°. The inequivalent atoms are La at (0.116, 0.147, 0.116), Pm at (0.022, 0.053, 0.861), Pm at (0.052, 0.328, 0.516), Pm at (0.153, 0.421, 0.968), Pm at (0.166, 0.034, 0.836), Pm at (0.204, 0.372, 0.716), Y at (0.067, 0.459, 0.231) and Y at (0.223, 0.086, 0.562).

For the distance to the lowest polymorph of the same formula, the calculation gives 85.7 meV/atom. The total magnetization is 0.00 μB/f.u.

Material: BaMg2InNi
Method: DFT, PBE
State: optimized geometry

The structure belongs to space group P4/mmm (No. 123); the cell edges are 5.080, 5.080 and 5.056 Å and the angles 90.00°, 90.00° and 90.00°. The inequivalent atoms are Ba at (0.000, 0.000, 0.000), Mg at (0.000, 0.500, 0.500), In at (0.500, 0.500, 0.000) and Ni at (0.500, 0.500, 0.500).

The value obtained for the total energy is -2.92 eV/atom. The total magnetization is 0.00 μB/f.u.

Material: Cd7AgAu5
Method: DFT, PBE
State: optimized geometry

The structure belongs to space group Imm2 (No. 44); the cell edges are 5.694, 9.794 and 9.824 Å and the angles 90.00°, 90.00° and 90.00°. The inequivalent atoms are Cd at (0.000, 0.000, 0.000), Cd at (0.000, 0.000, 0.370), Cd at (0.000, 0.314, 0.605), Cd at (0.000, 0.336, 0.097), Cd at (0.000, 0.500, 0.355), Ag at (0.000, 0.000, 0.689), Au at (0.000, 0.500, 0.839) and Au at (0.246, 0.242, 0.852).

The value obtained for the total energy is -2.07 eV/atom. The total magnetization is 0.00 μB/f.u.